# 1
# CsYSn

CsYSn after structural relaxation (PBE-GGA, Alexandria via LeMat-Bulk).

Results
offset from the most stable computed form: 143 meV/atom
energy of formation from the pure elements: -244 meV per atom
magnetization: 0.000 μB/atom
space group: No. 1

a = 5.203 Å, b = 5.205 Å, c = 13.786 Å
α = 100.46°, β = 90.11°, γ = 119.96°
Element x y z (fractional)
1 Cs 0.000 0.000 0.000
2 Cs 0.215 0.429 0.662
3 Y 0.466 0.927 0.406
4 Y 0.751 0.498 0.257
5 Sn 0.124 0.243 0.379
6 Sn 0.392 0.780 0.178

# 2
# Cs2YSn2

Cs2YSn2 after structural relaxation (PBE-GGA, Alexandria via LeMat-Bulk).

Results
offset from the most stable computed form: 0 meV/atom
energy of formation from the pure elements: -18 meV per atom
magnetization: 0.156 μB/atom
space group: No. 127

a = 8.111 Å, b = 8.111 Å, c = 6.627 Å
α = 90.00°, β = 90.00°, γ = 90.00°
Element x y z (fractional)
1 Cs 0.171 0.329 0.000
2 Cs 0.329 0.829 0.000
3 Cs 0.671 0.171 0.000
4 Cs 0.829 0.671 0.000
5 Y 0.000 0.000 0.500
6 Y 0.500 0.500 0.500
7 Sn 0.127 0.627 0.500
8 Sn 0.373 0.127 0.500
9 Sn 0.627 0.873 0.500
10 Sn 0.873 0.373 0.500

# 3
# CsYSn

CsYSn after structural relaxation (PBE-GGA, Alexandria via LeMat-Bulk).

Results
offset from the most stable computed form: 0 meV/atom
energy of formation from the pure elements: -387 meV per atom
magnetization: 0.000 μB/atom
space group: No. 2

a = 3.871 Å, b = 4.661 Å, c = 14.769 Å
α = 89.93°, β = 89.23°, γ = 90.00°
Element x y z (fractional)
1 Cs 0.232 0.249 0.331
2 Cs 0.768 0.751 0.669
3 Y 0.246 0.250 0.076
4 Y 0.754 0.750 0.924
5 Sn 0.257 0.250 0.858
6 Sn 0.743 0.750 0.142

> Which formula does entry 2 have?

Cs2YSn2

> The highest energy of formation from the pure elements belongs to which entry?

Cs2YSn2

Please write out number 1 again, unchanged.
# CsYSn

CsYSn after structural relaxation (PBE-GGA, Alexandria via LeMat-Bulk).

Results
offset from the most stable computed form: 143 meV/atom
energy of formation from the pure elements: -244 meV per atom
magnetization: 0.000 μB/atom
space group: No. 1

a = 5.203 Å, b = 5.205 Å, c = 13.786 Å
α = 100.46°, β = 90.11°, γ = 119.96°
Element x y z (fractional)
1 Cs 0.000 0.000 0.000
2 Cs 0.215 0.429 0.662
3 Y 0.466 0.927 0.406
4 Y 0.751 0.498 0.257
5 Sn 0.124 0.243 0.379
6 Sn 0.392 0.780 0.178

> Which formula does entry 1 have?

CsYSn